Record 1
Below is an optimized crystal structure of Tl4In6Hg, with properties calculated at the PBE level.

For the density of states at the Fermi level, the calculation gives 0.46 states/eV/atom. The value obtained for the energy of formation is 0.04 eV per atom. The theoretical density comes out at 8.45 g/cm3.

a = 6.398 Å, b = 11.004 Å, c = 11.000 Å
α = 120.01°, β = 90.00°, γ = 90.00°
Positions (direct):
In1 0.290 0.505 0.010
In2 0.070 0.187 0.813
In3 0.570 0.375 0.187
In4 0.570 0.813 0.187
In5 0.070 0.625 0.813
In6 0.789 0.495 0.505
In7 0.790 0.495 0.990
In8 0.069 0.187 0.375
In9 0.289 0.990 0.495
In10 0.789 0.010 0.505
In11 0.289 0.505 0.495
In12 0.569 0.813 0.625
Tl1 0.386 0.333 0.666
Tl2 0.066 0.851 0.703
Tl3 0.566 0.149 0.297
Tl4 0.886 0.667 0.334
Tl5 0.067 0.297 0.149
Tl6 0.567 0.149 0.851
Tl7 0.067 0.851 0.149
Tl8 0.567 0.703 0.851
Hg1 0.863 0.334 0.667
Hg2 0.363 0.666 0.333

***

Record 2
Below is an optimized crystal structure of Tl3In2Hg2, with properties calculated at the PBE level.

For the density of states at the Fermi level, the calculation gives 0.44 states/eV/atom. The value obtained for the energy of formation is 0.02 eV per atom. The theoretical density comes out at 10.19 g/cm3.

a = 3.648 Å, b = 3.808 Å, c = 14.722 Å
α = 82.57°, β = 90.00°, γ = 90.00°
Positions (direct):
In1 0.500 0.707 0.586
In2 0.500 0.293 0.414
Hg1 0.000 0.852 0.296
Hg2 0.000 0.148 0.704
Tl1 0.500 0.578 0.845
Tl2 0.500 0.422 0.155
Tl3 0.000 0.000 0.000

***

Record 3
Below is an optimized crystal structure of TlIn15Hg4, with properties calculated at the PBE level.

For the density of states at the Fermi level, the calculation gives 0.17 states/eV/atom. The value obtained for the energy of formation is 0.00 eV per atom. The theoretical density comes out at 8.51 g/cm3.

a = 4.726 Å, b = 4.726 Å, c = 23.856 Å
α = 90.00°, β = 90.00°, γ = 90.00°
Positions (direct):
Hg1 0.000 0.000 0.204
Hg2 0.000 0.000 0.599
Hg3 0.000 0.000 0.401
Hg4 0.000 0.000 0.796
In1 0.500 0.000 0.697
In2 0.500 0.500 0.402
In3 0.000 0.500 0.697
In4 0.500 0.500 0.000
In5 0.500 0.000 0.303
In6 0.500 0.500 0.598
In7 0.500 0.500 0.795
In8 0.000 0.500 0.500
In9 0.000 0.500 0.303
In10 0.000 0.500 0.895
In11 0.500 0.000 0.895
In12 0.500 0.500 0.205
In13 0.500 0.000 0.500
In14 0.500 0.000 0.105
In15 0.000 0.500 0.105
Tl1 0.000 0.000 0.000

***

Record 4
Below is an optimized crystal structure of Tl2In6Hg3, with properties calculated at the PBE level.

For the density of states at the Fermi level, the calculation gives 0.31 states/eV/atom. The value obtained for the energy of formation is 0.02 eV per atom. The theoretical density comes out at 8.69 g/cm3.

a = 4.601 Å, b = 9.025 Å, c = 9.025 Å
α = 120.00°, β = 90.00°, γ = 90.00°
Positions (direct):
Tl1 0.000 0.667 0.333
Tl2 0.000 0.333 0.667
Hg1 0.500 0.589 0.000
Hg2 0.500 0.000 0.589
Hg3 0.500 0.411 0.411
In1 0.500 0.725 0.725
In2 0.000 0.000 0.799
In3 0.500 0.000 0.275
In4 0.500 0.275 0.000
In5 0.000 0.201 0.201
In6 0.000 0.799 0.000

***

What is the energy of formation in the fourth record? 0.02 eV per atom

***

Which of these has the lowest energy of formation? TlIn15Hg4

***

What is the theoretical density in the third record? 8.51 g/cm3